# ErCrBrO4

ErCrBrO4 after structural relaxation (PBE+U, the Alexandria database).

a = 6.1969 Å, b = 6.1969 Å, c = 6.7101 Å
α = 102.36°, β = 102.36°, γ = 70.03°
Closest atoms and distances in Å follow each position.
Sites, in units of the cell vectors:
Er  0.2335  0.2335  0.1207  6 O 2.30-2.50
Er  0.7665  0.7665  0.8793  6 O 2.30-2.50
Cr  0.3613  0.3613  0.7323  4 O 1.64-1.70
Cr  0.6387  0.6387  0.2677  4 O 1.64-1.70
Br  0.0155  0.0155  0.7547  2 Er 2.84-2.86, 3 O 3.10-3.17
Br  0.9845  0.9845  0.2453  2 Er 2.84-2.86, 3 O 3.10-3.17
O  0.1246  0.4940  0.8531  1 Cr 1.70
O  0.2911  0.2911  0.4821  1 Cr 1.64
O  0.4714  0.4714  0.2248  1 Cr 1.65
O  0.4940  0.1246  0.8531  1 Cr 1.70
O  0.5060  0.8754  0.1469  1 Cr 1.70
O  0.5286  0.5286  0.7752  1 Cr 1.65
O  0.7089  0.7089  0.5179  1 Cr 1.64
O  0.8754  0.5060  0.1469  1 Cr 1.70

Calculated volume, Å³/atom: 16.7
Total energy, eV/atom: -6.719
Symmetry: C2/m
Density, g/cm3: 5.2
Total magnetic moment, μB/cell: 0.0